! WBr (PBE, relaxed); values from VASP
! distance to the lowest polymorph of the same formula = 0.329 eV per atom
! electronic total energy = -41.41 eV/cell
! calculated volume = 22.4 Å³ per atom
! raw formation energy = 0.412 eV per atom
! total moment = 0.00 μB per formula unit
&SYSTEM
  ibrav = 0, nat = 6, ntyp = 2
/
ATOMIC_SPECIES
W 183.84 W.upf
Br 79.90 Br.upf
CELL_PARAMETERS angstrom
7.9493 -0.9137 -2.9352
8.4944 -0.6655 0.2126
-0.0575 -5.0040 0.4044
ATOMIC_POSITIONS angstrom
W 10.6450 -1.1947 -1.7490
W 1.8521 -2.7425 -0.1045
W 11.9130 -3.5808 -1.7804
Br 0.3037 -4.8153 0.3270
Br 4.4384 -0.5156 -0.7278
Br 6.3321 -3.0828 -0.8534

---

! CoAgPb2 (PBE, relaxed); values from VASP
! distance to the lowest polymorph of the same formula = 0.138 eV per atom
! electronic total energy = -15.52 eV/cell
! calculated volume = 21.5 Å³ per atom
! ΔH_f (0 K) = 0.463 eV per atom
! total moment = 1.53 μB per formula unit
&SYSTEM
  ibrav = 0, nat = 4, ntyp = 3
/
ATOMIC_SPECIES
Pb 207.20 Pb.upf
Co 58.93 Co.upf
Ag 107.87 Ag.upf
CELL_PARAMETERS angstrom
0.0000 3.5045 3.5045
3.5045 0.0000 3.5045
3.5045 3.5045 0.0000
ATOMIC_POSITIONS angstrom
Pb 1.7522 1.7522 1.7522
Pb 5.2567 5.2567 5.2567
Co 0.0000 0.0000 0.0000
Ag 3.5045 3.5045 3.5045

---

! CsTmSeCl2O3 (PBE, relaxed); values from VASP
! electronic total energy = -174.69 eV/cell
! calculated volume = 25.6 Å³ per atom
! raw formation energy = -2.037 eV per atom
! total moment = 0.00 μB per formula unit
&SYSTEM
  ibrav = 0, nat = 32, ntyp = 5
/
ATOMIC_SPECIES
Cs 132.91 Cs.upf
Tm 168.93 Tm.upf
Se 78.96 Se.upf
Cl 35.45 Cl.upf
O 16.00 O.upf
CELL_PARAMETERS angstrom
-5.5947 4.0975 -0.7524
-2.0174 -3.6934 -5.1126
-10.3913 -12.7374 7.9011
ATOMIC_POSITIONS angstrom
Cs -3.2549 -2.5867 -3.6014
Cs -9.1290 -3.6883 1.7439
Cs -14.7485 -9.7466 5.6375
Cs -8.8744 -8.6450 0.2922
Tm -14.2435 -9.4596 0.9599
Tm -8.1939 -3.7164 -2.8758
Tm -3.7599 -2.8737 1.0762
Tm -9.8095 -8.6170 4.9119
Se -5.3041 -5.3201 -1.0802
Se -6.7044 -1.2298 -0.7267
Se -11.2990 -11.1035 2.7629
Se -12.6993 -7.0132 3.1163
Cl -6.7648 -1.8654 -4.0749
Cl -5.3019 -4.6419 2.2601
Cl -12.7015 -7.6914 -0.2240
Cl -11.2386 -10.4679 6.1110
Cl -2.2944 -1.3999 -0.5273
Cl -9.4402 -5.3508 -1.2428
Cl -15.7090 -10.9335 2.5634
Cl -8.5632 -6.9825 3.2789
O -13.7220 -8.3524 2.8920
O -9.9741 -2.3059 -2.8432
O -4.2814 -3.9810 -0.8558
O -8.0293 -10.0275 4.8793
O -11.7247 -7.4730 4.4928
O -5.5936 -1.6375 0.5576
O -6.2787 -4.8604 -2.4567
O -7.6551 -0.2795 0.3908
O -10.3483 -12.0538 1.6453
O -12.4098 -10.6959 1.4786
O -10.3691 -9.6964 2.9748
O -7.6343 -2.6370 -0.9386